Entry 1:
{
  "formula": "LaAlRh2",
  "functional": "PBE-GGA",
  "state": "relaxed",
  "cell": [[4.191, 0.000, 0.000], [-2.095, 3.629, 0.000], [0.000, 0.000, 16.361]],
  "species": ["La", "La", "La", "Al", "Al", "Al", "Rh", "Rh", "Rh", "Rh", "Rh", "Rh"],
  "frac_coords": [[0.000, 0.000, 0.000], [0.333, 0.667, 0.667], [0.667, 0.333, 0.333], [0.000, 0.000, 0.191], [0.333, 0.667, 0.858], [0.667, 0.333, 0.524], [0.000, 0.000, 0.560], [0.000, 0.000, 0.803], [0.333, 0.667, 0.227], [0.333, 0.667, 0.470], [0.667, 0.333, 0.136], [0.667, 0.333, 0.894]],
  "volume_a3_per_fu": 83,
  "delta_e_f_ev_per_atom": -0.63,
  "total_energy_ev_per_atom": -6.468,
  "dos_at_fermi_per_ev_fu": 2.35
}

Entry 2:
{
  "formula": "LaAl2Rh",
  "functional": "PBE-GGA",
  "state": "relaxed",
  "cell": [[3.278, 0.000, 0.000], [0.000, 3.278, 0.000], [0.000, 0.000, 7.287]],
  "species": ["La", "Al", "Al", "Rh"],
  "frac_coords": [[0.000, 0.000, 0.000], [0.000, 0.000, 0.455], [0.500, 0.500, 0.676], [0.500, 0.500, 0.303]],
  "volume_a3_per_fu": 78,
  "delta_e_f_ev_per_atom": -0.54,
  "total_energy_ev_per_atom": -5.480,
  "dos_at_fermi_per_ev_fu": 2.19
}